# CuNi2AgF8 | Alexandria via LeMat-Bulk | PBE with a Hubbard U | optimized geometry
# volume = 12.537 Å³/atom
# electronic total energy = -3.9618 eV/atom
data_CuNi2AgF8
_chemical_formula_sum 'Cu1 Ni2 Ag1 F8'
_symmetry_space_group_name_H-M 'P 1 2/m 1'
_symmetry_Int_Tables_number 10
_cell_length_a 4.787
_cell_length_b 6.553
_cell_length_c 4.797
_cell_angle_alpha 90.00
_cell_angle_beta 90.97
_cell_angle_gamma 90.00
loop_
_symmetry_equiv_pos_as_xyz
'x,y,z'
'-x,-y,-z'
'-x,y,-z'
'x,-y,z'
loop_
_atom_site_label
_atom_site_fract_x
_atom_site_fract_y
_atom_site_fract_z
Cu1 0.000 0.000 0.000
Ni1 0.500 0.240 0.500
Ag1 0.000 0.500 0.000
F1 0.201 0.220 0.200
F2 0.308 0.000 0.692
F3 0.322 0.500 0.677